Record 1
Sm3YPa2P6 after structural relaxation, computed with PBE.

The structure in POSCAR format:
```
Sm3YPa2P6
1.0
-1.7284 6.6762 1.1267
-2.8159 -3.4802 -5.3654
-3.4699 -3.0082 5.2874
Sm Y Pa P
3 1 2 6
Cartesian
-4.3710 -3.3044 -1.6478
-3.6432 3.4922 2.6966
-4.0071 0.0939 0.5244
0.0000 0.0000 0.0000
-2.4534 -0.0947 -3.2013
-2.0909 3.2907 -1.0374
-5.8724 1.8293 1.9428
-4.1987 1.6497 -1.8775
-2.1418 -1.6415 -0.8940
-6.2407 -1.6105 -0.2559
-3.8155 -1.4619 2.9263
-1.7735 1.7982 1.3047
```

## Properties
The total energy is -0.5522 Ry per atom. The calculation puts the formation energy at -145.4 kJ per mole of atoms.

Record 2
Sm3Zr2PaP6 after structural relaxation, computed with PBE.

The structure in POSCAR format:
```
Sm3Zr2PaP6
1.0
-6.3732 0.5923 -2.3656
2.8721 -6.1643 0.5630
-1.1311 1.3431 6.6695
Sm Zr Pa P
3 2 1 6
Cartesian
0.7767 -4.3748 3.4132
-5.4090 0.1459 1.4538
-2.3161 -2.1145 2.4335
-0.2108 -3.9113 -0.4135
-3.2904 -1.6607 -1.3890
0.0000 0.0000 0.0000
-5.0689 -2.0301 3.2669
-2.8464 -3.8092 0.1976
0.4367 -2.1989 1.6001
-1.9480 -4.3109 4.2555
-1.7858 -0.4197 4.6694
-2.6843 0.0820 0.6115
```

## Properties
The total energy is -0.5555 Ry per atom. The calculation puts the formation energy at -140.7 kJ per mole of atoms.

Record 3
Sm4ZrPa3P8 after structural relaxation, computed with PBE.

The structure in POSCAR format:
```
Sm4ZrPa3P8
1.0
7.9863 0.0000 0.0000
0.0000 8.0245 0.0212
-3.9932 -3.9890 5.6499
Sm Zr Pa P
4 1 3 8
Cartesian
3.9932 0.0000 0.0000
1.9966 -1.9945 2.8250
0.0000 0.0000 0.0000
-1.9966 -1.9945 2.8250
0.0000 4.0122 0.0106
3.9932 4.0122 0.0106
1.9966 2.0177 2.8356
-1.9966 2.0177 2.8356
-2.0227 1.9332 5.6165
0.0000 3.9539 2.7544
0.0000 0.0669 2.8693
2.0227 1.9332 5.6165
1.9704 2.1022 0.0546
3.9932 3.9685 2.8018
3.9932 0.0815 2.9167
6.0159 2.1022 0.0546
```

## Properties
The total energy is -0.5621 Ry per atom. The calculation puts the formation energy at -139.7 kJ per mole of atoms.

Record 4
Pa2SnP after structural relaxation, computed with PBE.

The structure in POSCAR format:
```
Pa2SnP
1.0
-0.4860 1.1188 3.1580
2.5026 -2.0003 1.0938
5.2041 5.8211 -1.2613
P Pa Sn
1 2 1
Cartesian
1.0083 -0.4408 2.1259
4.1107 4.5980 -0.9963
1.0935 1.2231 -0.2650
3.6104 2.4698 1.4952
```

## Properties
The total energy is -0.5654 Ry per atom. The calculation puts the formation energy at -57.0 kJ per mole of atoms. For the energy above the most stable polymorph in this dataset, the calculation gives 52 meV/atom.

Record 5
PaSnP after structural relaxation, computed with PBE.

The structure in POSCAR format:
```
PaSnP
1.0
-1.5335 3.1486 -0.3856
-2.0242 -1.3011 -2.5736
-2.1717 -2.3773 5.3218
P Pa Sn
1 1 1
Cartesian
-2.4085 -0.8861 2.3423
-3.3837 0.3333 0.0812
-5.6668 -0.5067 2.3016
```

## Properties
The total energy is -0.4958 Ry per atom. The calculation puts the formation energy at -42.8 kJ per mole of atoms.

Record 6
Pa2SnP after structural relaxation, computed with PBE.

The structure in POSCAR format:
```
Pa2SnP
1.0
4.0999 0.0000 0.0000
2.0500 3.5507 0.0000
2.0500 1.1836 7.0545
P Pa Sn
1 2 1
Cartesian
4.0999 2.3671 3.5273
6.1499 3.5507 5.0359
2.0500 1.1836 2.0186
0.0000 0.0000 0.0000
```

## Properties
The total energy is -0.5692 Ry per atom. The calculation puts the formation energy at -62.0 kJ per mole of atoms. For the energy above the most stable polymorph in this dataset, the calculation gives 0 meV/atom.

Record 7
Sr3Pa5P12 after structural relaxation, computed with PBE.

The structure in POSCAR format:
```
Sr3Pa5P12
1.0
14.4217 0.0000 0.0000
-4.8072 13.5969 0.0000
-4.8072 -6.7984 11.7752
Sr Pa P
12 20 48
Cartesian
8.4126 4.2490 1.4719
8.4126 9.3478 1.4719
-1.2018 5.9486 7.3595
1.2018 -0.8498 4.4157
10.8162 0.0000 2.9438
1.2018 6.7984 2.9438
3.6054 0.0000 8.8314
-6.0090 6.7984 8.8314
3.6054 7.6482 7.3595
6.0090 0.8498 4.4157
-3.6054 -2.5494 10.3033
-3.6054 2.5494 10.3033
-1.2018 3.3992 2.9438
-2.4036 6.7984 0.0000
0.0000 0.0000 0.0000
3.6054 2.5494 1.4719
4.8072 -3.3992 5.8876
4.8072 6.7984 0.0000
-3.6054 7.6482 4.4157
6.0090 -4.2490 10.3033
6.0090 5.9486 4.4157
1.2018 -3.3992 8.8314
3.6054 10.1977 2.9438
2.4036 3.3992 5.8876
7.2108 0.0000 0.0000
-2.4036 -3.3992 5.8876
-1.2018 0.8498 7.3595
-1.2018 11.0475 1.4719
-4.8072 3.3992 5.8876
8.4126 -0.8498 7.3595
1.2018 4.2490 10.3033
6.0090 3.3992 8.8314
9.5100 1.3839 0.4484
0.1044 4.4794 4.9133
10.6671 3.2004 3.3867
6.1582 2.0665 1.4226
1.8653 5.1020 7.9402
10.2332 6.7384 2.0526
-1.0527 7.9324 4.8093
-3.7545 11.5304 1.4226
0.5383 8.4949 7.9402
6.5921 6.8585 2.0526
7.3153 3.7029 4.4650
7.3153 12.2130 0.4484
-4.2689 6.0282 6.3360
3.0224 5.0509 1.0783
-4.9116 9.8940 4.4650
2.5080 -2.3190 6.8619
-0.5383 0.9262 2.5009
3.0224 8.6061 0.9743
6.1582 10.3965 3.3867
-0.6188 4.9908 0.9743
-2.9419 7.7246 9.2743
3.4563 5.6645 4.8093
6.6725 7.5687 6.3360
5.4260 -1.7476 10.6969
1.3509 1.1339 6.9659
-1.8653 -0.7702 5.4393
-0.6188 8.5460 1.0783
-1.3509 -3.5980 8.3886
7.7492 -0.9262 2.5009
5.4260 1.8076 10.8009
1.7848 -1.8076 10.8009
2.2992 9.1174 4.9133
5.3456 5.8722 9.2743
9.7189 -3.0956 7.3103
9.0761 0.7702 5.4393
-2.5080 -5.4146 11.3269
1.7848 1.7476 10.6969
4.2689 -1.6964 3.8350
-1.7848 -0.0600 9.7226
-2.5080 3.0956 7.3103
8.5618 -4.7320 10.3526
5.8599 -1.1339 6.9659
-1.3509 4.7320 10.3526
-5.4260 0.0600 9.7226
2.9419 1.6964 3.8350
-5.8599 3.5980 8.3886
4.7028 2.3190 6.8619
-4.7028 5.4146 11.3269
```

## Properties
The total energy is -0.4652 Ry per atom. The calculation puts the formation energy at -44.1 kJ per mole of atoms.

Record 8
SrPaP2 after structural relaxation, computed with PBE.

The structure in POSCAR format:
```
SrPaP2
1.0
-0.5715 -0.6242 4.0377
-1.8481 -3.4465 1.3134
5.3256 -4.4993 2.1658
Sr Pa P
1 1 2
Cartesian
1.4530 -4.2850 3.7584
0.0000 0.0000 0.0000
2.3973 -6.5393 5.6513
0.5087 -2.0308 1.8655
```

## Properties
The total energy is -0.4938 Ry per atom. The calculation puts the formation energy at -117.7 kJ per mole of atoms. For the energy above the most stable polymorph in this dataset, the calculation gives 0 meV/atom.

Density of states at the Fermi level across the listed records, respectively: 8.675, 6.731, 10.998, 7.691, 3.150, 6.072, 13.474, 3.879 states/eV/f.u..